DFT (PBE-GGA) results for a relaxed structure of Ac2ScCd3In4.

a b c (Å): 4.7502 4.7502 12.4626
angles (deg): 90.00 90.00 90.00
Space group P-4m2 (No. 115)
Asymmetric unit:
Ac 0.0000 0.5000 0.2450 (multiplicity 2)
Sc 0.0000 0.0000 0.5000 (multiplicity 1)
Cd 0.0000 0.5000 0.8623 (multiplicity 2)
Cd 0.5000 0.5000 0.5000 (multiplicity 1)
In 0.0000 0.0000 0.0000 (multiplicity 1)
In 0.0000 0.5000 0.6396 (multiplicity 2)
In 0.5000 0.5000 0.0000 (multiplicity 1)

spin magnetization	0.0	μB per formula unit

DFT (PBE-GGA) results for a relaxed structure of AcSm2Cd2In2.

a b c (Å): 5.0311 5.0311 28.4972
angles (deg): 90.00 90.00 120.00
Space group R-3m (No. 166, hexagonal axes)
Asymmetric unit:
Ac 0.0000 0.0000 0.0000 (multiplicity 3)
Sm 0.0000 0.0000 0.1322 (multiplicity 6)
Cd 0.0000 0.0000 0.4190 (multiplicity 6)
In 0.0000 0.0000 0.2585 (multiplicity 6)

spin magnetization	0.0	μB per formula unit

DFT (PBE-GGA) results for a relaxed structure of AcSmCdIn.

a b c (Å): 7.9463 7.9463 7.9463
angles (deg): 90.00 90.00 90.00
Space group F-43m (No. 216)
Asymmetric unit:
Ac 0.0000 0.0000 0.0000 (multiplicity 4)
Sm 0.0000 0.0000 0.5000 (multiplicity 4)
Cd 0.2500 0.2500 0.2500 (multiplicity 4)
In 0.2500 0.2500 0.7500 (multiplicity 4)

spin magnetization	0.0	μB per formula unit

DFT (PBE-GGA) results for a relaxed structure of AcSmCdIn.

a b c (Å): 3.9481 3.9481 7.9651
angles (deg): 90.00 90.00 90.00
Space group P4mm (No. 99)
Asymmetric unit:
Ac 0.0000 0.0000 0.0000 (multiplicity 1)
Sm 0.0000 0.0000 0.4973 (multiplicity 1)
Cd 0.5000 0.5000 0.2802 (multiplicity 1)
In 0.5000 0.5000 0.7232 (multiplicity 1)

spin magnetization	0.0	μB per formula unit

Energy of formation across the listed records, respectively: -0.340; -0.298; -0.358; -0.373 eV/atom.